A plane-wave DFT calculation with GGA-PBE was carried out for a geometry-optimized Si2Hg structure.

Summary:
- Energy relative to the elements, uncorrected: 1.3 eV/f.u.
- Polymorph energy (0 for the lowest one): 125.5 meV per atom
- Uncorrected energy: -9.8 eV per cell
- Volume: 65.3 Å³ per cell
- M_tot: 0.000 μB/atom

Lattice parameters (Å, degrees): 3.992 3.992 4.730 90.00 90.00 120.00
Fractional positions:
Hg 0.000 0.000 0.000
Si 0.667 0.333 0.500
Si 0.333 0.667 0.500

=====

A plane-wave DFT calculation with GGA-PBE was carried out for a geometry-optimized Si5Hg structure.

Summary:
- Energy relative to the elements, uncorrected: 3.2 eV/f.u.
- Polymorph energy (0 for the lowest one): 81.0 meV per atom
- Uncorrected energy: -24.2 eV per cell
- Volume: 107.0 Å³ per cell
- M_tot: 0.000 μB/atom

Lattice parameters (Å, degrees): 9.058 9.058 4.360 90.00 90.00 162.59
Fractional positions:
Si 0.767 0.233 0.500
Si 0.700 0.300 0.000
Si 0.393 0.607 0.500
Si 0.135 0.865 0.500
Si 0.323 0.677 0.000
Hg 0.014 0.986 0.000

=====

A plane-wave DFT calculation with GGA-PBE was carried out for a geometry-optimized Si2Hg structure.

Summary:
- Energy relative to the elements, uncorrected: 1.8 eV/f.u.
- Polymorph energy (0 for the lowest one): 286.2 meV per atom
- Uncorrected energy: -18.7 eV per cell
- Volume: 125.5 Å³ per cell
- M_tot: 0.000 μB/atom

Lattice parameters (Å, degrees): 4.170 4.742 6.345 90.00 90.00 90.00
Fractional positions:
Si 0.500 0.305 0.117
Si 0.500 0.695 0.883
Si 0.000 0.195 0.617
Si 0.000 0.805 0.383
Hg 0.000 0.000 0.000
Hg 0.500 0.500 0.500

=====

A plane-wave DFT calculation with GGA-PBE was carried out for a geometry-optimized SiHg2 structure.

Summary:
- Energy relative to the elements, uncorrected: 1.1 eV/f.u.
- Polymorph energy (0 for the lowest one): 184.2 meV per atom
- Uncorrected energy: -9.9 eV per cell
- Volume: 150.4 Å³ per cell
- M_tot: 0.000 μB/atom

Lattice parameters (Å, degrees): 6.805 6.805 4.865 90.00 90.00 138.12
Fractional positions:
Hg 0.145 0.478 0.250
Hg 0.478 0.145 0.250
Hg 0.855 0.522 0.750
Hg 0.522 0.855 0.750
Si 0.986 0.986 0.250
Si 0.014 0.014 0.750

=====

A plane-wave DFT calculation with GGA-PBE was carried out for a geometry-optimized SiHg2 structure.

Summary:
- Energy relative to the elements, uncorrected: 0.6 eV/f.u.
- Polymorph energy (0 for the lowest one): 24.8 meV per atom
- Uncorrected energy: -10.8 eV per cell
- Volume: 147.9 Å³ per cell
- M_tot: 0.000 μB/atom

Lattice parameters (Å, degrees): 3.804 5.347 7.727 70.15 90.17 89.81
Fractional positions:
Hg 0.140 0.592 0.206
Hg 0.596 0.975 0.404
Hg 0.647 0.236 0.013
Hg 0.102 0.851 0.814
Si 0.209 0.327 0.558
Si 0.709 0.498 0.660

=====

A plane-wave DFT calculation with GGA-PBE was carried out for a geometry-optimized SiHg3 structure.

Summary:
- Energy relative to the elements, uncorrected: 1.2 eV/f.u.
- Polymorph energy (0 for the lowest one): 125.4 meV per atom
- Uncorrected energy: -5.1 eV per cell
- Volume: 96.0 Å³ per cell
- M_tot: 0.000 μB/atom

Lattice parameters (Å, degrees): 3.429 2.990 9.588 102.45 90.00 90.00
Fractional positions:
Hg 0.000 0.456 0.481
Hg 0.000 0.044 0.019
Hg 0.500 0.750 0.750
Si 0.500 0.250 0.250